Record 1
The following is a DFT calculation (GGA-PBE) of a geometry-optimized RbHfN3 structure.

## Properties
Symmetry = Pm-3m (221)
ΔE_f (raw) = 2.5796 eV per atom

a = 4.0706 Å, b = 4.0706 Å, c = 4.0706 Å
α = 90.00°, β = 90.00°, γ = 90.00°
Closest atoms and distances in Å follow each position.
Element x y z (fractional)
Rb 0.0000 0.0000 0.0000  6 N 2.04
N 0.5000 0.0000 0.0000  2 Rb 2.04
N 0.0000 0.5000 0.0000  2 Rb 2.04
N 0.0000 0.0000 0.5000  2 Rb 2.04
Hf 0.5000 0.5000 0.5000  12 N 2.88

***

Record 2
The following is a DFT calculation (GGA-PBE) of a geometry-optimized Tm2Th2Ni15 structure.

## Properties
Symmetry = R-3m (166)
Energy of formation = -303 meV/atom

a = 6.5060 Å, b = 6.5060 Å, c = 6.5060 Å
α = 81.78°, β = 81.78°, γ = 81.78°
Closest atoms and distances in Å follow each position.
Element x y z (fractional)
Tm 0.1081 0.1081 0.1081  6 Ni 2.57-2.67, 1 Tm 2.76
Tm 0.8919 0.8919 0.8919  6 Ni 2.57-2.67, 1 Tm 2.76
Ni 0.0000 0.3092 0.6908  8 Ni 2.51-2.63
Ni 0.3092 0.0000 0.6908  8 Ni 2.51-2.63
Ni 0.8354 0.3478 0.3478  8 Ni 2.41-2.63, 1 Tm 2.67
Ni 0.0000 0.5000 0.0000  8 Ni 2.49-2.51, 2 Tm 2.57
Ni 0.6522 0.6522 0.1646  8 Ni 2.41-2.63, 1 Tm 2.67
Ni 0.3478 0.3478 0.8354  8 Ni 2.41-2.63, 1 Tm 2.67
Ni 0.1646 0.6522 0.6522  8 Ni 2.41-2.63, 1 Tm 2.67
Ni 0.0000 0.6908 0.3092  8 Ni 2.51-2.63
Ni 0.0000 0.0000 0.5000  8 Ni 2.49-2.51, 2 Tm 2.57
Ni 0.6522 0.1646 0.6522  8 Ni 2.41-2.63, 1 Tm 2.67
Ni 0.6908 0.0000 0.3092  8 Ni 2.51-2.63
Ni 0.3092 0.6908 0.0000  8 Ni 2.51-2.63
Ni 0.6908 0.3092 0.0000  8 Ni 2.51-2.63
Ni 0.3478 0.8354 0.3478  8 Ni 2.41-2.63, 1 Tm 2.67
Ni 0.5000 0.0000 0.0000  8 Ni 2.49-2.51, 2 Tm 2.57
Th 0.6430 0.6430 0.6430  12 Ni 2.94-3.10, 1 Tm 3.18
Th 0.3570 0.3570 0.3570  12 Ni 2.94-3.10, 1 Tm 3.18